First-principles (PBE) data for a geometry-optimized Nd3Th structure, as listed in Alexandria.

```
data_Nd3Th
_chemical_formula_sum 'Nd6 Th2'
_space_group_name_H-M_alt 'P 1'
_space_group_IT_number 1
_space_group_name_Hall 'P 1'
_cell_length_a 9.159
_cell_length_b 9.159
_cell_length_c 6.454
_cell_angle_alpha 44.80
_cell_angle_beta 44.80
_cell_angle_gamma 60.00
loop_
_atom_site_label
_atom_site_type_symbol
_atom_site_fract_x
_atom_site_fract_y
_atom_site_fract_z
_atom_site_occupancy
Nd1 Nd 0.750 0.499 0.750 1
Nd2 Nd 0.499 0.001 0.750 1
Nd3 Nd 0.001 0.750 0.750 1
Nd4 Nd 0.250 0.501 0.250 1
Nd5 Nd 0.501 0.999 0.250 1
Nd6 Nd 0.999 0.250 0.250 1
Th1 Th 0.000 0.000 0.000 1
Th2 Th 0.500 0.500 0.500 1
```

Spin magnetization in μB per formula unit: 0.00
Energy relative to the elements in eV/atom: 0.18
E_tot in Ry per atom: -0.386



First-principles (PBE) data for a geometry-optimized Cs2KGeCl5 structure, as listed in Alexandria.

```
data_Cs2KGeCl5
_chemical_formula_sum 'Cs4 K2 Ge2 Cl10'
_space_group_name_H-M_alt 'P 1'
_space_group_IT_number 1
_space_group_name_Hall 'P 1'
_cell_length_a 5.208
_cell_length_b 9.588
_cell_length_c 13.623
_cell_angle_alpha 90.00
_cell_angle_beta 90.00
_cell_angle_gamma 105.76
loop_
_atom_site_label
_atom_site_type_symbol
_atom_site_fract_x
_atom_site_fract_y
_atom_site_fract_z
_atom_site_occupancy
Cs1 Cs 0.854 0.709 0.832 1
Cs2 Cs 0.109 0.219 0.689 1
Cs3 Cs 0.146 0.291 0.332 1
Cs4 Cs 0.891 0.781 0.189 1
K1 K 0.796 0.592 0.532 1
K2 K 0.204 0.408 0.032 1
Ge1 Ge 0.532 0.064 0.949 1
Ge2 Ge 0.468 0.936 0.449 1
Cl1 Cl 0.373 0.746 0.010 1
Cl2 Cl 0.661 0.323 0.887 1
Cl3 Cl 0.489 0.978 0.785 1
Cl4 Cl 0.294 0.587 0.670 1
Cl5 Cl 0.967 0.934 0.470 1
Cl6 Cl 0.627 0.254 0.510 1
Cl7 Cl 0.339 0.677 0.387 1
Cl8 Cl 0.511 0.022 0.285 1
Cl9 Cl 0.706 0.413 0.170 1
Cl10 Cl 0.033 0.066 0.970 1
```

E_form (uncorrected) in eV per atom: -1.592
Spin magnetization in μB per formula unit: 0.00
E_tot in Ry per atom: -0.253



First-principles (PBE) data for a geometry-optimized CaMo2Rh structure, as listed in Alexandria.

```
data_CaMo2Rh
_chemical_formula_sum 'Ca1 Mo2 Rh1'
_space_group_name_H-M_alt 'P 1'
_space_group_IT_number 1
_space_group_name_Hall 'P 1'
_cell_length_a 5.418
_cell_length_b 5.418
_cell_length_c 5.418
_cell_angle_alpha 145.75
_cell_angle_beta 124.90
_cell_angle_gamma 66.50
loop_
_atom_site_label
_atom_site_type_symbol
_atom_site_fract_x
_atom_site_fract_y
_atom_site_fract_z
_atom_site_occupancy
Mo1 Mo 0.968 0.968 0.000 1
Mo2 Mo 0.762 0.262 0.500 1
Rh1 Rh 0.519 0.519 0.000 1
Ca1 Ca 0.251 0.751 0.500 1
```

Spin magnetization in μB per formula unit: 0.00
Energy relative to the elements in eV/atom: 0.39
E_tot in Ry per atom: -0.542



First-principles (PBE) data for a geometry-optimized SrSc2Al structure, as listed in Alexandria.

```
data_SrSc2Al
_chemical_formula_sum 'Sr1 Sc2 Al1'
_space_group_name_H-M_alt 'P 1'
_space_group_IT_number 1
_space_group_name_Hall 'P 1'
_cell_length_a 10.917
_cell_length_b 10.917
_cell_length_c 10.917
_cell_angle_alpha 18.13
_cell_angle_beta 18.13
_cell_angle_gamma 18.13
loop_
_atom_site_label
_atom_site_type_symbol
_atom_site_fract_x
_atom_site_fract_y
_atom_site_fract_z
_atom_site_occupancy
Sc1 Sc 0.005 0.005 0.005 1
Sc2 Sc 0.259 0.259 0.259 1
Sr1 Sr 0.493 0.493 0.493 1
Al1 Al 0.743 0.743 0.743 1
```

Spin magnetization in μB per formula unit: 1.25
Energy relative to the elements in eV/atom: 0.16
E_tot in Ry per atom: -0.321



First-principles (PBE) data for a geometry-optimized K2SbN structure, as listed in Alexandria.

```
data_K2SbN
_chemical_formula_sum 'K4 Sb2 N2'
_space_group_name_H-M_alt 'P 1'
_space_group_IT_number 1
_space_group_name_Hall 'P 1'
_cell_length_a 11.720
_cell_length_b 11.720
_cell_length_c 8.569
_cell_angle_alpha 46.86
_cell_angle_beta 46.86
_cell_angle_gamma 90.00
loop_
_atom_site_label
_atom_site_type_symbol
_atom_site_fract_x
_atom_site_fract_y
_atom_site_fract_z
_atom_site_occupancy
Sb1 Sb 0.000 0.000 0.000 1
Sb2 Sb 0.750 0.250 0.500 1
K1 K 0.407 0.125 0.250 1
K2 K 0.343 0.625 0.250 1
K3 K 0.375 0.593 0.750 1
K4 K 0.875 0.657 0.750 1
N1 N 0.500 0.500 0.000 1
N2 N 0.250 0.750 0.500 1
```

E_form (uncorrected) in eV per atom: 0.244
Spin magnetization in μB per formula unit: 0.00
E_tot in Ry per atom: -0.251



First-principles (PBE) data for a geometry-optimized BeNi2Rh structure, as listed in Alexandria.

```
data_BeNi2Rh
_chemical_formula_sum 'Be1 Ni2 Rh1'
_space_group_name_H-M_alt 'P 1'
_space_group_IT_number 1
_space_group_name_Hall 'P 1'
_cell_length_a 4.669
_cell_length_b 4.669
_cell_length_c 3.917
_cell_angle_alpha 65.21
_cell_angle_beta 65.21
_cell_angle_gamma 34.61
loop_
_atom_site_label
_atom_site_type_symbol
_atom_site_fract_x
_atom_site_fract_y
_atom_site_fract_z
_atom_site_occupancy
Ni1 Ni 0.977 0.977 0.023 1
Ni2 Ni 0.523 0.523 0.477 1
Rh1 Rh 0.750 0.750 0.750 1
Be1 Be 0.250 0.250 0.250 1
```

Spin magnetization in μB per formula unit: 1.32
Energy relative to the elements in eV/atom: -0.21
E_tot in Ry per atom: -0.432